# LaCdAs2Br (meta-GGA SCAN, single point on PBEsol structure)
data_LaCdAs2Br
_space_group_name_H-M_alt 'P 4/m m m'
_space_group_IT_number 123
_space_group_name_Hall '-P 4 2'
_cell_length_a 5.678
_cell_length_b 5.678
_cell_length_c 5.621
_cell_angle_alpha 90.00
_cell_angle_beta 90.00
_cell_angle_gamma 90.00
loop_
_atom_site_label
_atom_site_type_symbol
_atom_site_fract_x
_atom_site_fract_y
_atom_site_fract_z
La1 La 0.000 0.000 0.000
Cd1 Cd 0.500 0.500 0.500
As1 As 0.000 0.500 0.000
Br1 Br 0.000 0.000 0.500
# **E_tot**: -133.31 eV per cell
# **M_tot**: 1.14 μB/cell
# **Formation energy from raw total energies**: 0.0105 eV per atom